# Pm3Tl2Cd3

An optimized crystal structure of Pm3Tl2Cd3 (PBE, Alexandria).

```
Pm3Tl2Cd3
1.0
-2.5791 2.8704 -2.2362
2.3630 -3.0356 -6.6221
-6.1905 -2.8246 3.5142
Tl Cd Pm
2 3 3
Cartesian
-3.3393 -2.8949 0.1355 Tl
-0.4881 -2.9653 -3.2433 Tl
-2.9614 -4.5341 -2.4046 Cd
0.5347 -0.6869 -1.4985 Cd
-1.4008 -0.6392 0.7952 Cd
-2.7980 -0.8744 -2.3430 Pm
0.1422 -0.4040 -5.1302 Pm
-5.0403 -0.2762 1.0111 Pm
```

Calculated values
SG = P-62m, No. 189
ΔE to the lowest computed polymorph = 0.000 eV/atom
size of the total moment = 0.00 Bohr magnetons per cell
DOS at the Fermi energy = 6.89 states/eV per cell



# Pm3TlCd

An optimized crystal structure of Pm3TlCd (PBE, Alexandria).

```
Pm3TlCd
1.0
-3.3425 -4.0050 -2.0398
-2.3276 -2.6718 9.0598
-6.8095 8.6418 -5.8091
Pm Tl Cd
12 4 4
Cartesian
-9.0396 1.5359 0.2641 Pm
-7.7618 6.5482 -3.9822 Pm
-4.7179 -4.5832 5.1931 Pm
-5.5213 0.8909 3.4519 Pm
-7.8066 4.9005 -0.6718 Pm
-4.4721 -1.4504 -1.3620 Pm
-6.9584 1.0741 -2.2410 Pm
-9.2403 0.0511 3.5088 Pm
-3.4400 0.4291 0.9468 Pm
-4.6731 -2.9355 1.8826 Pm
-3.2393 1.9139 -2.2979 Pm
-8.0075 3.4154 2.5728 Pm
-5.5151 4.1895 -3.0311 Tl
-9.2044 3.4336 -3.1918 Tl
-6.9646 -2.2245 4.2419 Tl
-3.2753 -1.4687 4.4027 Tl
-9.0221 5.0338 -6.6336 Cd
-6.7817 -0.6237 0.8004 Cd
-3.4576 -3.0689 7.8444 Cd
-5.6979 2.5887 0.4104 Cd
```

Calculated values
SG = P2_1/m, No. 11
ΔE to the lowest computed polymorph = 0.058 eV/atom
size of the total moment = 0.00 Bohr magnetons per cell
DOS at the Fermi energy = 15.75 states/eV per cell



# Pm4Tl5Cd

An optimized crystal structure of Pm4Tl5Cd (PBE, Alexandria).

```
Pm4Tl5Cd
1.0
-1.7618 -4.1188 -2.5640
1.7513 -3.8864 5.0380
-7.6414 5.1594 2.1640
Tl Pm Cd
5 4 1
Cartesian
-0.0052 -4.0026 1.2370 Tl
-2.9926 -3.8929 3.1159 Tl
-6.5057 -2.1647 2.7542 Tl
-4.6593 1.0471 1.5221 Tl
-1.1462 -0.6812 1.8838 Tl
-3.7571 -1.9499 0.5194 Pm
-0.0711 -2.6406 4.2904 Pm
-3.8948 -0.8959 4.1186 Pm
-7.5808 -0.2052 0.3476 Pm
-0.8809 -2.0594 -1.2820 Cd
```

Calculated values
SG = C2/m, No. 12
DFT total energy = -3.505 eV per atom
size of the total moment = 0.00 Bohr magnetons per cell
DOS at the Fermi energy = 6.52 states/eV per cell



# Pm9TlCd2

An optimized crystal structure of Pm9TlCd2 (PBE, Alexandria).

```
Pm9TlCd2
1.0
-0.2238 -4.5853 -1.8764
4.9520 -0.1476 -0.2298
0.4686 -5.6369 13.7187
Pm Cd Tl
9 2 1
Cartesian
2.6758 -6.1165 8.0736 Pm
2.3641 -2.3665 -1.0531 Pm
2.8661 -4.7669 11.3068 Pm
2.5209 -4.2533 3.5389 Pm
2.7103 -2.8923 6.7445 Pm
0.1224 -5.1111 5.9211 Pm
0.2782 -6.9857 10.4835 Pm
-0.0334 -3.2365 1.3588 Pm
2.5544 -1.0176 2.1821 Pm
0.1564 -1.8812 4.5782 Cd
0.3122 -3.7557 9.1405 Cd
0.0000 0.0000 0.0000 Tl
```

Calculated values
SG = P4/mmm, No. 123
DFT total energy = -4.050 eV per atom
size of the total moment = 1.04 Bohr magnetons per cell
DOS at the Fermi energy = 18.35 states/eV per cell



# Pm6TlCd5

An optimized crystal structure of Pm6TlCd5 (PBE, Alexandria).

```
Pm6TlCd5
1.0
-4.4947 8.6566 -3.3155
-2.4357 -1.8043 -5.6296
-6.0039 -2.4091 -0.2611
Pm Cd Tl
6 5 1
Cartesian
-5.5872 5.4416 -3.0472 Pm
-8.3423 4.0554 -5.0418 Pm
-7.3471 -0.9984 -6.1590 Pm
-4.5921 0.3878 -4.1644 Pm
-1.7144 1.5401 -2.3043 Pm
-5.2160 5.3122 -6.6408 Pm
-3.0102 -1.4665 -1.8585 Cd
-6.8818 2.3504 -2.6495 Cd
-6.0525 2.0928 -6.5567 Cd
-5.4294 -2.7469 -4.0323 Cd
-3.4652 3.4262 -4.4726 Cd
0.0000 0.0000 0.0000 Tl
```

Calculated values
SG = C2/m, No. 12
ΔE to the lowest computed polymorph = 0.174 eV/atom
size of the total moment = 0.00 Bohr magnetons per cell
DOS at the Fermi energy = 12.74 states/eV per cell



# PmTl2Cd

An optimized crystal structure of PmTl2Cd (PBE, Alexandria).

```
PmTl2Cd
1.0
4.6535 0.0000 0.0000
0.0000 4.7925 0.0000
0.0000 0.0000 4.7925
Tl Cd Pm
2 1 1
Cartesian
0.0000 2.3963 0.0000 Tl
0.0000 0.0000 2.3963 Tl
2.3267 0.0000 0.0000 Cd
2.3267 2.3963 2.3963 Pm
```

Calculated values
SG = P4/mmm, No. 123
DFT total energy = -2.895 eV per atom
size of the total moment = 0.00 Bohr magnetons per cell
DOS at the Fermi energy = 2.68 states/eV per cell



Copy entry 3 word for word.
# Pm4Tl5Cd

An optimized crystal structure of Pm4Tl5Cd (PBE, Alexandria).

```
Pm4Tl5Cd
1.0
-1.7618 -4.1188 -2.5640
1.7513 -3.8864 5.0380
-7.6414 5.1594 2.1640
Tl Pm Cd
5 4 1
Cartesian
-0.0052 -4.0026 1.2370 Tl
-2.9926 -3.8929 3.1159 Tl
-6.5057 -2.1647 2.7542 Tl
-4.6593 1.0471 1.5221 Tl
-1.1462 -0.6812 1.8838 Tl
-3.7571 -1.9499 0.5194 Pm
-0.0711 -2.6406 4.2904 Pm
-3.8948 -0.8959 4.1186 Pm
-7.5808 -0.2052 0.3476 Pm
-0.8809 -2.0594 -1.2820 Cd
```

Calculated values
SG = C2/m, No. 12
DFT total energy = -3.505 eV per atom
size of the total moment = 0.00 Bohr magnetons per cell
DOS at the Fermi energy = 6.52 states/eV per cell



Question: What is the formula in the fourth record?
Answer: Pm9TlCd2